(1)
Density functional theory data (GGA-PBE) for AlFeSi3 after structural relaxation.

Cell lengths 4.3728, 4.3728, 4.3728 Å; angles 90.00, 90.00, 90.00 degrees
Closest atoms and distances in Å follow each position.
Fractional positions:
Si 0.0000 0.5000 0.0000  2 Fe 2.19
Si 0.0000 0.0000 0.5000  2 Fe 2.19
Si 0.5000 0.0000 0.0000  2 Fe 2.19
Fe 0.0000 0.0000 0.0000  6 Si 2.19
Al 0.5000 0.5000 0.5000  12 Si 3.09

ΔE to the lowest computed polymorph	0.0000	eV/atom
DFT total energy	-5.34	eV/atom
volume	84	Å³/cell

---

(2)
Density functional theory data (GGA-PBE) for ErLuB4 after structural relaxation.

Cell lengths 4.6825, 4.6825, 4.6825 Å; angles 60.00, 60.00, 60.00 degrees
Closest atoms and distances in Å follow each position.
Fractional positions:
B 0.6549 0.6549 0.0353  3 B 1.78
B 0.6549 0.0353 0.6549  3 B 1.78
B 0.6549 0.6549 0.6549  3 B 1.78
B 0.0353 0.6549 0.6549  3 B 1.78
Lu 0.0000 0.0000 0.0000  12 B 2.71, 4 Er 2.87
Er 0.2500 0.2500 0.2500  12 B 2.83, 4 Lu 2.87

DFT formation energy	0.26	eV per atom
DFT total energy	-5.71	eV/atom
volume	73	Å³/cell

---

(3)
Density functional theory data (GGA-PBE) for HfTi2Cd2 after structural relaxation.

Cell lengths 7.8807, 7.8807, 3.2267 Å; angles 90.00, 90.00, 90.00 degrees
Closest atoms and distances in Å follow each position.
Fractional positions:
Ti 0.1759 0.6759 0.5000  6 Cd 2.74-2.90
Ti 0.6759 0.8241 0.5000  6 Cd 2.74-2.90
Ti 0.8241 0.3241 0.5000  6 Cd 2.74-2.90
Ti 0.3241 0.1759 0.5000  6 Cd 2.74-2.90
Hf 0.0000 0.0000 0.0000  4 Cd 3.11, 2 Hf 3.23, 8 Ti 3.32
Hf 0.5000 0.5000 0.0000  4 Cd 3.11, 2 Hf 3.23, 8 Ti 3.32
Cd 0.3742 0.8742 0.0000  6 Ti 2.74-2.90, 1 Cd 2.80
Cd 0.8742 0.6258 0.0000  6 Ti 2.74-2.90, 1 Cd 2.80
Cd 0.6258 0.1258 0.0000  6 Ti 2.74-2.90, 1 Cd 2.80
Cd 0.1258 0.3742 0.0000  6 Ti 2.74-2.90, 1 Cd 2.80

DFT formation energy	0.22	eV per atom
ΔE to the lowest computed polymorph	0.1943	eV/atom
DFT total energy	-5.29	eV/atom
volume	200	Å³/cell

---

(4)
Density functional theory data (GGA-PBE) for NdDy2Ho3P6 after structural relaxation.

Cell lengths 6.9714, 6.9714, 6.9709 Å; angles 99.59, 99.59, 119.99 degrees
Closest atoms and distances in Å follow each position.
Fractional positions:
Nd 0.0000 0.0000 0.0000  6 P 2.89
Dy 0.3331 0.6669 0.0000  6 P 2.85
Dy 0.6669 0.3331 0.0000  6 P 2.85
Ho 0.1657 0.8343 0.5000  6 P 2.81-2.84
Ho 0.8343 0.1657 0.5000  6 P 2.81-2.84
Ho 0.5000 0.5000 0.5000  6 P 2.80-2.84
P 0.9151 0.5766 0.7454  3 Ho 2.81-2.84, 2 Dy 2.85, 1 Nd 2.89
P 0.7462 0.7462 0.2541  3 Ho 2.80-2.84, 2 Dy 2.85, 1 Nd 2.89
P 0.0849 0.4234 0.2546  3 Ho 2.81-2.84, 2 Dy 2.85, 1 Nd 2.89
P 0.5766 0.9151 0.7454  3 Ho 2.81-2.84, 2 Dy 2.85, 1 Nd 2.89
P 0.2538 0.2538 0.7459  3 Ho 2.80-2.84, 2 Dy 2.85, 1 Nd 2.89
P 0.4234 0.0849 0.2546  3 Ho 2.81-2.84, 2 Dy 2.85, 1 Nd 2.89

DFT formation energy	-1.59	eV per atom
DFT total energy	-6.61	eV/atom
volume	277	Å³/cell

---

(5)
Density functional theory data (GGA-PBE) for Ta3V after structural relaxation.

Cell lengths 4.5863, 5.6446, 5.6446 Å; angles 109.29, 90.00, 90.00 degrees
Closest atoms and distances in Å follow each position.
Fractional positions:
Ta 0.2500 0.6230 0.3770  8 Ta 2.81-2.85
Ta 0.2500 0.6362 0.8836  4 V 2.78-2.87, 4 Ta 2.81-2.85
Ta 0.2500 0.1164 0.3638  4 V 2.78-2.87, 4 Ta 2.81-2.85
Ta 0.7500 0.3770 0.6230  8 Ta 2.81-2.85
Ta 0.7500 0.3638 0.1164  4 V 2.78-2.87, 4 Ta 2.81-2.85
Ta 0.7500 0.8836 0.6362  4 V 2.78-2.87, 4 Ta 2.81-2.85
V 0.2500 0.1256 0.8744  8 Ta 2.78-2.87
V 0.7500 0.8744 0.1256  8 Ta 2.78-2.87

DFT formation energy	0.04	eV per atom
ΔE to the lowest computed polymorph	0.0057	eV/atom
DFT total energy	-11.13	eV/atom
volume	138	Å³/cell

---

(6)
Density functional theory data (GGA-PBE) for Dy4Ho6Th after structural relaxation.

Cell lengths 5.6994, 5.5802, 25.5047 Å; angles 90.00, 90.00, 120.71 degrees
Closest atoms and distances in Å follow each position.
Fractional positions:
Dy 0.8428 0.6856 0.5416  8 Ho 3.39-3.67, 2 Dy 3.63-3.69
Dy 0.4697 0.9394 0.1220  5 Ho 3.13-3.30
Dy 0.1572 0.3144 0.4584  8 Ho 3.39-3.67, 2 Dy 3.63-3.69
Dy 0.5303 0.0606 0.8780  5 Ho 3.13-3.30
Dy 0.8428 0.6856 0.9584  8 Ho 3.39-3.67, 2 Dy 3.63-3.69
Dy 0.1572 0.3144 0.0416  8 Ho 3.39-3.67, 2 Dy 3.63-3.69
Dy 0.5303 0.0606 0.6220  5 Ho 3.13-3.30
Dy 0.4697 0.9394 0.3780  5 Ho 3.13-3.30
Ho 0.5000 0.0000 0.0000  8 Dy 3.13-3.46
Ho 0.5000 0.0000 0.5000  8 Dy 3.13-3.46
Ho 0.1396 0.2792 0.3175  5 Ho 3.44-3.77, 4 Dy 3.52-3.63, 3 Th 3.61-3.70
Ho 0.8604 0.7208 0.6825  5 Ho 3.44-3.77, 4 Dy 3.52-3.63, 3 Th 3.61-3.70
Ho 0.8604 0.7208 0.8175  5 Ho 3.44-3.77, 4 Dy 3.52-3.63, 3 Th 3.61-3.70
Ho 0.1396 0.2792 0.1825  5 Ho 3.44-3.77, 4 Dy 3.52-3.63, 3 Th 3.61-3.70
Ho 0.8098 0.6197 0.3980  5 Dy 3.28-3.55
Ho 0.1902 0.3803 0.6020  5 Dy 3.28-3.55
Ho 0.1902 0.3803 0.8980  5 Dy 3.28-3.55
Ho 0.8098 0.6197 0.1020  5 Dy 3.28-3.55
Ho 0.4732 0.9463 0.2500  3 Th 3.22-3.26, 2 Dy 3.26
Ho 0.5268 0.0537 0.7500  3 Th 3.22-3.26, 2 Dy 3.26
Th 0.8086 0.6173 0.2500  3 Ho 3.22-3.26
Th 0.1914 0.3827 0.7500  3 Ho 3.22-3.26

DFT formation energy	0.14	eV per atom
ΔE to the lowest computed polymorph	0.0000	eV/atom
DFT total energy	-4.70	eV/atom
volume	697	Å³/cell